DFT (PBE) results for a relaxed BaCuS5 crystal.

Lattice parameters (Å, degrees): 5.6992 10.1077 9.8255 71.05 102.73 111.82
Last column: nearest neighbours and their distance in Å.
Fractional coordinates of all 14 atoms:
Ba (0.8225, 0.5907, 0.1772)  7 S 3.15-3.42
Ba (0.1775, 0.4093, 0.8228)  7 S 3.15-3.42
Cu (0.0000, 0.0000, 0.0000)  2 S 2.14
Cu (0.5000, 0.5000, 0.5000)  4 S 2.27-2.30
S (0.2233, 0.4663, 0.1292)  1 S 2.08
S (0.6099, 0.2908, 0.6205)  1 S 2.03
S (0.6562, 0.6382, 0.6612)  1 S 2.08, 1 Cu 2.27
S (0.5183, 0.8126, 0.1820)  2 S 2.03-2.11
S (0.0849, 0.0884, 0.7806)  1 S 2.11, 1 Cu 2.14
S (0.9151, 0.9116, 0.2194)  1 S 2.11, 1 Cu 2.14
S (0.4817, 0.1874, 0.8180)  2 S 2.03-2.11
S (0.3438, 0.3618, 0.3388)  1 S 2.08, 1 Cu 2.27
S (0.3901, 0.7092, 0.3795)  1 S 2.03
S (0.7767, 0.5337, 0.8708)  1 S 2.08

Calculated values
Uncorrected energy in eV/cell: -60.7
Formation energy (no corrections) in eV per atom: -0.5270